1.
Compound: Re2Mo2Ir
Source: Alexandria
Functional: PBE
Structure: relaxed

Calculated values
As for the theoretical density: 15.8 g/cm3. The calculation puts the density of states at the Fermi level at 5.3 states/eV/f.u. Its crystal system is tetragonal. The formation energy is 0.346 eV per atom. For the total DFT energy (no corrections), the calculation gives -107.4 eV per cell. For the energy relative to the lowest polymorph listed for this composition, the calculation gives 0 meV per atom.

Lattice parameters (Å, degrees): 7.315 7.315 2.978 90.00 90.00 90.00
Element x y z (fractional)
Re  0.133  0.367  0.000
Re  0.367  0.867  0.000
Re  0.633  0.133  0.000
Re  0.867  0.633  0.000
Mo  0.168  0.668  0.500
Mo  0.332  0.168  0.500
Mo  0.668  0.832  0.500
Mo  0.832  0.332  0.500
Ir  0.000  0.000  0.000
Ir  0.500  0.500  0.000


2.
Compound: K2RbHg7Pt2
Source: Alexandria
Functional: PBE
Structure: relaxed

Calculated values
As for the theoretical density: 8.0 g/cm3. The calculation puts the density of states at the Fermi level at 2.2 states/eV/f.u. Its crystal system is monoclinic. The formation energy is -0.254 eV per atom. For the total DFT energy (no corrections), the calculation gives -20.4 eV per cell.

Lattice parameters (Å, degrees): 5.386 5.386 14.582 100.54 100.54 89.73
Element x y z (fractional)
K  0.180  0.180  0.364
K  0.820  0.820  0.636
Rb  0.000  0.000  0.000
Hg  0.097  0.597  0.194
Hg  0.309  0.309  0.609
Hg  0.403  0.903  0.806
Hg  0.500  0.500  0.000
Hg  0.597  0.097  0.194
Hg  0.691  0.691  0.391
Hg  0.903  0.403  0.806
Pt  0.403  0.403  0.806
Pt  0.597  0.597  0.194